This record from Alexandria describes an optimized crystal structure of Cd2IrBr. The functional is GGA-PBE.

Results
Polymorph energy (0 for the lowest one)   326 meV per atom
M_tot   0.00 μB/cell
Space group   C2/m, No. 12
Formation energy without anion corrections   345 meV per atom
DOS at the Fermi energy   0.60 states/eV per atom
Crystal system   monoclinic
E   -10.99 eV for the cell shown

POSCAR file:
```
Cd2IrBr
1.0
6.998 0.003 -0.014
6.356 2.929 -0.014
1.452 0.319 4.257
Ir Br Cd
1 1 2
Direct
0.250 0.250 0.250
0.750 0.750 0.750
0.939 0.939 0.060
0.561 0.561 0.440
```